Below is an optimized crystal structure of PuIN, with properties calculated at the PBE-GGA level.

For the uncorrected energy, the calculation gives -9.222 eV per atom. The calculation puts the density at 7.65 g cm⁻³. For the uncorrected formation energy, the calculation gives -1.153 eV per atom.

It has space group C2/m (No. 12), with a = 21.4465 Å, b = 4.0041 Å, c = 7.8138 Å, α = 90.00°, β = 94.63° and γ = 90.00°. The inequivalent atoms are Pu at (0.1976, 0.0000, 0.1041), Pu at (0.2005, 0.0000, 0.6133), I at (0.0855, 0.0000, 0.3389), I at (0.1073, 0.5000, 0.8427), N at (0.2454, 0.5000, 0.1221) and N at (0.2471, 0.5000, 0.6186).

***

Below is an optimized crystal structure of Tb2CePrIn4, with properties calculated at the PBE-GGA level.

For the uncorrected energy, the calculation gives -4.308 eV per atom. For the formation energy, the calculation gives -0.44 eV/atom. The calculation puts the density at 7.81 g cm⁻³.

It has space group R-3m (No. 166, hexagonal axes), with a = 5.4151 Å, b = 5.4151 Å, c = 26.5874 Å, α = 90.00°, β = 90.00° and γ = 120.00°. The inequivalent atoms are Tb at (0.0000, 0.0000, 0.2500), Ce at (0.0000, 0.0000, 0.0000), Pr at (0.0000, 0.0000, 0.5000), In at (0.0000, 0.0000, 0.1247) and In at (0.0000, 0.0000, 0.3747).

***

Below is an optimized crystal structure of Tm6GeSb2, with properties calculated at the PBE-GGA level.

For the uncorrected energy, the calculation gives -5.045 eV per atom. The calculation puts the density at 8.93 g cm⁻³. For the uncorrected formation energy, the calculation gives -0.635 eV per atom.

It has space group P2_1/c (No. 14), with a = 6.2122 Å, b = 8.0419 Å, c = 11.6213 Å, α = 90.00°, β = 121.54° and γ = 90.00°. The inequivalent atoms are Tm at (0.0795, 0.1887, 0.4509), Tm at (0.3222, 0.6717, 0.4526), Tm at (0.3585, 0.0322, 0.2311), Ge at (0.5000, 0.0000, 0.5000) and Sb at (0.1556, 0.1151, 0.7462).

***

Below is an optimized crystal structure of Ag2H2F5, with properties calculated at the PBE-GGA level.

For the uncorrected energy, the calculation gives -3.729 eV per atom. The calculation puts the density at 4.07 g cm⁻³. Its offset from the most stable computed form is 0 meV per atom.

It has space group C2/m (No. 12), with a = 15.1324 Å, b = 3.5557 Å, c = 5.0156 Å, α = 90.00°, β = 109.00° and γ = 90.00°. The inequivalent atoms are Ag at (0.1062, 0.0000, 0.1074), H at (0.2053, 0.0000, 0.7051), F at (0.0000, 0.5000, 0.0000), F at (0.1332, 0.0000, 0.6341) and F at (0.2020, 0.5000, 0.2034).

***

Below is an optimized crystal structure of CaGd3P, with properties calculated at the PBE-GGA level.

For the uncorrected energy, the calculation gives -10.415 eV per atom. For the formation energy, the calculation gives -0.48 eV/atom. The calculation puts the density at 5.43 g cm⁻³.

It has space group Pm-3m (No. 221), with a = 5.4974 Å, b = 5.4974 Å, c = 5.4974 Å, α = 90.00°, β = 90.00° and γ = 90.00°. The inequivalent atoms are Ca at (0.0000, 0.0000, 0.0000), Gd at (0.0000, 0.5000, 0.5000) and P at (0.5000, 0.5000, 0.5000).

***

Below is an optimized crystal structure of Ag2Sn2I7, with properties calculated at the PBE-GGA level.

For the uncorrected energy, the calculation gives -2.520 eV per atom. The calculation puts the density at 4.48 g cm⁻³. For the uncorrected formation energy, the calculation gives -0.287 eV per atom.

It has space group C2/m (No. 12), with a = 8.6621 Å, b = 14.3123 Å, c = 8.0859 Å, α = 90.00°, β = 97.38° and γ = 90.00°. The inequivalent atoms are Ag at (0.2223, 0.0000, 0.1433), Sn at (0.0000, 0.1796, 0.5000), I at (0.0000, 0.5000, 0.0000), I at (0.0835, 0.0000, 0.7654) and I at (0.2203, 0.3098, 0.7260).